BaSmAs2Pd5: relaxed, GGA-PBE.

Cell and atoms, written as POSCAR:
```
BaSmAs2Pd5
1.0
4.6442 0.0000 0.0000
0.0000 4.6442 0.0000
0.0000 0.0000 9.9411
Ba Sm As Pd
1 1 2 5
direct
0.0000 0.0000 0.0000
0.0000 0.0000 0.5000
0.5000 0.5000 0.2417
0.5000 0.5000 0.7583
0.0000 0.5000 0.3169
0.0000 0.5000 0.6831
0.5000 0.0000 0.3169
0.5000 0.0000 0.6831
0.5000 0.5000 0.0000
```

Results
Its formation energy is -611 meV/atom. As for the space group: P4/mmm, No. 123.

***

TiCo2S: relaxed, GGA-PBE.

Cell and atoms, written as POSCAR:
```
TiCo2S
1.0
-1.8057 1.8057 7.8972
1.8057 -1.8057 7.8972
1.8057 1.8057 -7.8972
Ti Co S
2 4 2
direct
0.0000 0.0000 0.0000
0.7500 0.2500 0.5000
0.1534 0.6250 0.0284
0.3750 0.4034 0.5284
0.5966 0.1250 0.9716
0.8750 0.8466 0.4716
0.2500 0.7500 0.5000
0.5000 0.5000 0.0000
```

Results
As for the space group: I-42d, No. 122. The calculation puts the uncorrected formation energy at -177 meV per atom.

***

AcPr2Ru: relaxed, GGA-PBE.

Cell and atoms, written as POSCAR:
```
AcPr2Ru
1.0
3.6271 0.0000 0.0000
0.0000 3.6271 0.0000
0.0000 0.0000 9.6615
Ac Pr Ru
1 2 1
direct
0.0000 0.0000 0.0000
0.5000 0.5000 0.3251
0.5000 0.5000 0.6749
0.0000 0.0000 0.5000
```

Results
Its formation energy is -20 meV/atom. As for the space group: P4/mmm, No. 123. Its excess energy over the best structure of this formula in the dataset is 144.2 meV per atom.

***

BaMo2Se: relaxed, GGA-PBE.

Cell and atoms, written as POSCAR:
```
BaMo2Se
1.0
2.9214 -5.0615 0.0000
2.9214 5.0615 0.0000
0.0000 0.0000 2.9572
Ba Mo Se
1 2 1
direct
0.0000 0.0000 0.0000
0.0000 0.5000 0.5000
0.5000 0.0000 0.5000
0.5000 0.5000 0.0000
```

Results
As for the space group: Cmmm, No. 65. The calculation puts the uncorrected formation energy at 1224 meV per atom.

***

PI2OF: relaxed, GGA-PBE.

Cell and atoms, written as POSCAR:
```
PI2OF
1.0
5.1086 0.0000 0.0000
0.0000 5.1086 0.0000
0.0000 0.0000 3.8417
P I O F
1 2 1 1
direct
0.0000 0.0000 0.0000
0.0000 0.5000 0.5000
0.5000 0.0000 0.5000
0.5000 0.5000 0.0000
0.5000 0.5000 0.5000
```

Results
As for the space group: P4/mmm, No. 123. The calculation puts the uncorrected formation energy at 945 meV per atom. Its excess energy over the best structure of this formula in the dataset is 1158.4 meV per atom.

***

HoMgAg2: relaxed, GGA-PBE.

Cell and atoms, written as POSCAR:
```
HoMgAg2
1.0
0.0000 3.4898 3.4898
3.4898 0.0000 3.4898
3.4898 3.4898 0.0000
Ho Mg Ag
1 1 2
direct
0.0000 0.0000 0.0000
0.5000 0.5000 0.5000
0.2500 0.2500 0.2500
0.7500 0.7500 0.7500
```

Results
Its formation energy is -304 meV/atom. As for the space group: Fm-3m, No. 225.